Sr2IrAu | the Alexandria database | GGA-PBE | relaxed; total energy = -16.9 eV per cell; size of the total moment = 0.000 μB/atom
1.0
3.614 0.000 0.000
0.000 3.614 0.000
0.000 0.000 7.875
Sr Ir Au
2 1 1
direct
0.000 0.000 0.520 Sr
0.000 0.000 0.980 Sr
0.500 0.500 0.750 Ir
0.500 0.500 0.250 Au